Here is a relaxed CsRb2Ag3Bi2 crystal from OQMD. Energies are from PBE.

Cell lengths 8.6586, 8.6586, 8.6586 Å; angles 44.24, 44.24, 44.24 degrees
Fractional coordinates of all 8 atoms:
1 Ag 0.5000 0.5000 0.0000
2 Ag 0.0000 0.5000 0.5000
3 Ag 0.5000 0.0000 0.5000
4 Bi 0.2436 0.2436 0.2436
5 Bi 0.7564 0.7564 0.7564
6 Cs 0.5000 0.5000 0.5000
7 Rb 0.9159 0.9159 0.9159
8 Rb 0.0841 0.0841 0.0841

Properties
Crystal system = trigonal
V = 35.9 Å³ per atom
Final energy = -21.607 eV/cell